No. 1
A geometry-optimized Rb2YI6O structure. Source: Alexandria, functional GGA-PBE.

Summary:
**D(E_F)**: 23.394 states/eV/cell
**Size of the total moment**: 0.10 μB per atom
**Total DFT energy (no corrections)**: -3.20 eV per atom

```
Rb2YI6O
1.0
-8.791 -2.933 -0.752
1.824 -6.972 5.875
-4.848 -1.901 6.606
I Rb Y O
6 2 1 1
Direct
0.294 0.294 0.413 I
0.228 0.228 0.000 I
0.228 0.772 0.000 I
0.706 0.706 0.587 I
0.772 0.228 0.000 I
0.772 0.772 0.000 I
0.250 0.750 0.500 Rb
0.750 0.250 0.500 Rb
0.000 0.000 0.000 Y
0.500 0.500 0.000 O
```

No. 2
A geometry-optimized BaSc2Te structure. Source: Alexandria, functional GGA-PBE.

Summary:
**D(E_F)**: 10.952 states/eV/cell
**Size of the total moment**: 0.40 μB per atom
**Total DFT energy (no corrections)**: -4.58 eV per atom

```
BaSc2Te
1.0
9.129 0.000 0.000
0.000 9.129 0.000
4.565 4.565 3.378
Sc Ba Te
4 2 2
Direct
0.550 0.125 0.250 Sc
0.200 0.625 0.250 Sc
0.375 0.450 0.750 Sc
0.875 0.800 0.750 Sc
0.000 0.000 0.000 Ba
0.750 0.250 0.500 Ba
0.500 0.500 0.000 Te
0.250 0.750 0.500 Te
```

No. 3
A geometry-optimized MgPbBr2 structure. Source: Alexandria, functional GGA-PBE.

Summary:
**Energy above the lowest structure with this stoichiometry**: 443 meV/atom
**D(E_F)**: 1.219 states/eV/cell
**Size of the total moment**: 0.00 μB per atom

```
MgPbBr2
1.0
-3.634 -3.911 2.799
-1.608 -0.187 -5.806
0.879 -3.478 -1.298
Br Mg Pb
2 1 1
Direct
0.500 0.500 0.000 Br
0.000 0.000 0.000 Br
0.500 0.000 0.500 Mg
0.000 0.500 0.500 Pb
```

No. 4
A geometry-optimized ZrTlSb2 structure. Source: Alexandria, functional GGA-PBE.

Summary:
**Energy above the lowest structure with this stoichiometry**: 2 meV/atom
**D(E_F)**: 2.088 states/eV/cell
**Size of the total moment**: 0.00 μB per atom

```
ZrTlSb2
1.0
3.870 0.000 0.000
0.000 3.868 0.041
0.000 3.797 7.067
Sb Tl Zr
2 1 1
Direct
0.000 0.040 0.960 Sb
0.000 0.460 0.540 Sb
0.500 0.250 0.250 Tl
0.500 0.750 0.750 Zr
```

No. 5
A geometry-optimized CdReP2 structure. Source: Alexandria, functional GGA-PBE.

Summary:
**Formation energy**: 0.294 eV per atom
**D(E_F)**: 1.652 states/eV/cell
**Size of the total moment**: 0.00 μB per atom

```
CdReP2
1.0
-1.591 1.546 -9.428
1.149 0.549 -9.602
-1.086 -1.329 -9.532
Re P Cd
1 2 1
Direct
0.519 0.519 0.519 Re
0.972 0.972 0.972 P
0.245 0.245 0.245 P
0.763 0.763 0.763 Cd
```

No. 6
A geometry-optimized ZrBeSe structure. Source: Alexandria, functional GGA-PBE.

Summary:
**Energy above the lowest structure with this stoichiometry**: 0 meV/atom
**D(E_F)**: 4.375 states/eV/cell
**Size of the total moment**: 0.00 μB per atom

```
ZrBeSe
1.0
-2.713 0.376 2.428
-3.461 0.388 -1.169
-2.003 -10.979 2.219
Zr Se Be
2 2 2
Direct
0.185 0.919 0.711 Zr
0.815 0.081 0.289 Zr
0.760 0.630 0.850 Se
0.240 0.370 0.150 Se
0.638 0.184 0.539 Be
0.362 0.816 0.461 Be
```

No. 7
A geometry-optimized Pr12Er3Zn structure. Source: Alexandria, functional GGA-PBE.

Summary:
**Formation energy**: 0.009 eV per atom
**D(E_F)**: 22.002 states/eV/cell
**Size of the total moment**: 0.00 μB per atom

```
Pr12Er3Zn
1.0
5.106 0.000 0.000
0.000 5.106 0.000
0.000 0.000 20.596
Er Pr Zn
3 12 1
Direct
0.000 0.000 0.500 Er
0.000 0.000 0.246 Er
0.000 0.000 0.754 Er
0.000 0.500 0.881 Pr
0.000 0.500 0.627 Pr
0.500 0.500 0.756 Pr
0.500 0.000 0.881 Pr
0.500 0.000 0.119 Pr
0.000 0.500 0.373 Pr
0.500 0.500 0.244 Pr
0.500 0.500 0.500 Pr
0.500 0.000 0.627 Pr
0.500 0.000 0.373 Pr
0.500 0.500 0.000 Pr
0.000 0.500 0.119 Pr
0.000 0.000 0.000 Zn
```

No. 8
A geometry-optimized Ti2CoRh2 structure. Source: Alexandria, functional GGA-PBE.

Summary:
**Formation energy**: -0.308 eV per atom
**Energy above the lowest structure with this stoichiometry**: 48 meV/atom
**D(E_F)**: 5.236 states/eV/cell
**Size of the total moment**: 0.28 μB per atom

```
Ti2CoRh2
1.0
-3.411 1.744 6.130
3.618 -5.193 3.491
2.105 1.893 0.633
Rh Co Ti
4 2 4
Direct
0.645 0.855 0.500 Rh
0.355 0.145 0.500 Rh
0.145 0.645 0.500 Rh
0.855 0.355 0.500 Rh
0.000 0.000 0.000 Co
0.500 0.500 0.000 Co
0.657 0.157 0.000 Ti
0.157 0.343 0.000 Ti
0.843 0.657 0.000 Ti
0.343 0.843 0.000 Ti
```